{"formula": "NdSc2Hg", "functional": "GGA-PBE", "state": "relaxed", "polymorph_energy_ev_per_fu": 0.62, "spacegroup": "Fm-3m", "dft_energy_ev_per_cell": -17.9, "magmom_total_mub_per_cell": 3.0, "e_form_ev_per_atom": -0.04, "mass_density_g_cm3": 7.36, "lattice_angstrom": [[-2.5346, -4.3590, 1.1702], [-1.1903, -3.3833, -3.7324], [2.4425, -4.5574, -0.2372]], "species": ["Nd", "Hg", "Sc", "Sc"], "fractional_positions": [[0.0000, 0.0000, 0.0000], [0.5000, 0.5000, 0.5000], [0.2499, 0.2499, 0.2502], [0.7501, 0.7501, 0.7498]]}